CePu2Sn: relaxed, PBE. Values from VASP.

Output
- polymorph energy (0 for the lowest one) (eV per formula unit) = 0.00
- total energy (eV/atom) = -9.9646
- energy of formation (eV per formula unit) = -1.3
- SG = P4/mmm, No. 123
- total moment (μB/cell) = 12.95

Cell and atoms, written as Quantum ESPRESSO input:
```
&SYSTEM
  ibrav = 0, nat = 4, ntyp = 3
/
ATOMIC_SPECIES
Sn 118.71 Sn.upf
Ce 140.12 Ce.upf
Pu 244.00 Pu.upf
CELL_PARAMETERS angstrom
4.822 0.000 0.000
0.000 4.699 0.000
0.000 0.000 4.699
ATOMIC_POSITIONS crystal
Sn 0.500 0.000 0.000
Ce 0.500 0.500 0.500
Pu 0.000 0.000 0.500
Pu 0.000 0.500 0.000
```

---

PaGeSb: relaxed, PBE. Values from VASP.

Output
- polymorph energy (0 for the lowest one) (eV per formula unit) = 0.00
- raw formation energy (eV per atom) = -0.438
- total energy (eV/atom) = -6.5164
- SG = Cmcm, No. 63
- total moment (μB/cell) = 0.00

Cell and atoms, written as Quantum ESPRESSO input:
```
&SYSTEM
  ibrav = 0, nat = 6, ntyp = 3
/
ATOMIC_SPECIES
Pa 231.04 Pa.upf
Ge 72.64 Ge.upf
Sb 121.76 Sb.upf
CELL_PARAMETERS angstrom
4.197 0.000 0.000
0.000 4.083 -1.063
0.000 -0.007 8.345
ATOMIC_POSITIONS crystal
Pa 0.250 0.097 0.195
Pa 0.750 0.903 0.805
Ge 0.250 0.444 0.887
Ge 0.750 0.556 0.113
Sb 0.250 0.750 0.499
Sb 0.750 0.250 0.501
```

---

La3DyPb4: relaxed, PBE. Values from VASP.

Output
- total energy (eV/atom) = -4.8191
- energy of formation (eV per formula unit) = -4.3
- SG = C2/m, No. 12
- total moment (μB/cell) = 0.00

Cell and atoms, written as Quantum ESPRESSO input:
```
&SYSTEM
  ibrav = 0, nat = 8, ntyp = 3
/
ATOMIC_SPECIES
Pb 207.20 Pb.upf
Dy 162.50 Dy.upf
La 138.91 La.upf
CELL_PARAMETERS angstrom
5.000 0.000 -1.350
-0.365 4.986 -1.351
-0.015 0.001 9.879
ATOMIC_POSITIONS crystal
Pb 0.377 0.377 0.755
Pb 0.623 0.623 0.245
Pb 0.123 0.122 0.245
Pb 0.877 0.878 0.755
Dy 0.500 0.000 0.000
La 0.000 0.500 0.000
La 0.748 0.248 0.496
La 0.252 0.752 0.504
```

---

CaCuAs2Se: relaxed, PBE. Values from VASP.

Output
- polymorph energy (0 for the lowest one) (eV per formula unit) = 5.13
- raw formation energy (eV per atom) = 0.859
- total energy (eV/atom) = -2.9176
- SG = P4/mmm, No. 123
- total moment (μB/cell) = 0.00

Cell and atoms, written as Quantum ESPRESSO input:
```
&SYSTEM
  ibrav = 0, nat = 5, ntyp = 4
/
ATOMIC_SPECIES
As 74.92 As.upf
Ca 40.08 Ca.upf
Cu 63.55 Cu.upf
Se 78.96 Se.upf
CELL_PARAMETERS angstrom
5.380 0.000 0.000
0.000 5.380 0.000
0.000 0.000 5.301
ATOMIC_POSITIONS crystal
As 0.000 0.500 0.000
As 0.500 0.000 0.000
Ca 0.000 0.000 0.000
Cu 0.500 0.500 0.500
Se 0.000 0.000 0.500
```

---

Nd4Sn8Ru: relaxed, PBE. Values from VASP.

Output
- total energy (eV/atom) = -5.2235
- energy of formation (eV per formula unit) = -7.5
- SG = Pmm2, No. 25
- total moment (μB/cell) = 0.00

Cell and atoms, written as Quantum ESPRESSO input:
```
&SYSTEM
  ibrav = 0, nat = 13, ntyp = 3
/
ATOMIC_SPECIES
Nd 144.24 Nd.upf
Sn 118.71 Sn.upf
Ru 101.07 Ru.upf
CELL_PARAMETERS angstrom
4.506 0.000 0.000
0.000 4.594 0.000
0.000 0.000 17.001
ATOMIC_POSITIONS crystal
Nd 0.000 0.000 0.094
Nd 0.000 0.500 0.607
Nd 0.500 0.500 0.395
Nd 0.500 0.000 0.900
Sn 0.000 0.000 0.460
Sn 0.000 0.500 0.935
Sn 0.500 0.500 0.059
Sn 0.500 0.000 0.575
Sn 0.000 0.500 0.233
Sn 0.000 0.000 0.752
Sn 0.500 0.000 0.231
Sn 0.500 0.500 0.755
Ru 0.000 0.000 0.308
```

---

InMo: relaxed, PBE. Values from VASP.

Output
- polymorph energy (0 for the lowest one) (eV per formula unit) = 0.00
- total energy (eV/atom) = -6.5704
- energy of formation (eV per formula unit) = 0.4
- SG = I4/m, No. 87
- total moment (μB/cell) = 0.00

Cell and atoms, written as Quantum ESPRESSO input:
```
&SYSTEM
  ibrav = 0, nat = 16, ntyp = 2
/
ATOMIC_SPECIES
In 114.82 In.upf
Mo 95.94 Mo.upf
CELL_PARAMETERS angstrom
10.080 0.000 0.000
0.000 10.080 0.000
0.000 0.000 3.146
ATOMIC_POSITIONS crystal
In 0.143 0.835 0.000
In 0.857 0.165 0.000
In 0.165 0.143 0.000
In 0.835 0.857 0.000
In 0.643 0.335 0.500
In 0.357 0.665 0.500
In 0.665 0.643 0.500
In 0.335 0.357 0.500
Mo 0.478 0.149 0.000
Mo 0.522 0.851 0.000
Mo 0.851 0.478 0.000
Mo 0.149 0.522 0.000
Mo 0.978 0.649 0.500
Mo 0.022 0.351 0.500
Mo 0.351 0.978 0.500
Mo 0.649 0.022 0.500
```

---

GaHgB: relaxed, PBE. Values from VASP.

Output
- total energy (eV/atom) = -3.0791
- energy of formation (eV per formula unit) = 0.8
- SG = P1, No. 1
- total moment (μB/cell) = 0.00

Cell and atoms, written as Quantum ESPRESSO input:
```
&SYSTEM
  ibrav = 0, nat = 6, ntyp = 3
/
ATOMIC_SPECIES
B 10.81 B.upf
Hg 200.59 Hg.upf
Ga 69.72 Ga.upf
CELL_PARAMETERS angstrom
-1.256 -2.888 -0.259
3.561 -2.482 -9.102
2.895 -1.400 1.512
ATOMIC_POSITIONS crystal
B 0.146 0.627 0.193
B 0.629 0.660 0.192
Hg 0.831 0.261 0.695
Hg 0.958 0.012 0.194
Ga 0.211 0.498 0.693
Ga 0.554 0.808 0.693
```

---

LiDyTeSe: relaxed, PBE. Values from VASP.

Output
- raw formation energy (eV per atom) = -1.482
- total energy (eV/atom) = -4.7673
- SG = R3m, No. 160
- total moment (μB/cell) = 0.00

Cell and atoms, written as Quantum ESPRESSO input:
```
&SYSTEM
  ibrav = 0, nat = 4, ntyp = 4
/
ATOMIC_SPECIES
Li 6.94 Li.upf
Dy 162.50 Dy.upf
Te 127.60 Te.upf
Se 78.96 Se.upf
CELL_PARAMETERS angstrom
4.204 0.000 0.000
2.102 3.640 0.000
2.102 1.213 6.790
ATOMIC_POSITIONS crystal
Li 0.111 0.111 0.666
Dy 0.601 0.601 0.198
Te 0.360 0.360 0.921
Se 0.858 0.858 0.427
```

---

La2Tb5Pr2: relaxed, PBE. Values from VASP.

Output
- polymorph energy (0 for the lowest one) (eV per formula unit) = 0.43
- total energy (eV/atom) = -4.5450
- energy of formation (eV per formula unit) = 1.7
- SG = Ima2, No. 46
- total moment (μB/cell) = 0.00

Cell and atoms, written as Quantum ESPRESSO input:
```
&SYSTEM
  ibrav = 0, nat = 18, ntyp = 3
/
ATOMIC_SPECIES
La 138.91 La.upf
Tb 158.93 Tb.upf
Pr 140.91 Pr.upf
CELL_PARAMETERS angstrom
12.104 0.000 0.000
0.000 6.806 0.000
-6.052 -3.403 7.569
ATOMIC_POSITIONS crystal
La 0.129 0.687 0.253
La 0.871 0.434 0.747
La 0.624 0.187 0.253
La 0.376 0.934 0.747
Tb 0.201 0.649 0.893
Tb 0.799 0.756 0.107
Tb 0.192 0.149 0.893
Tb 0.808 0.256 0.107
Tb 0.374 0.032 0.285
Tb 0.626 0.746 0.715
Tb 0.411 0.532 0.285
Tb 0.589 0.246 0.715
Tb 0.013 0.663 0.500
Tb 0.987 0.163 0.500
Pr 0.000 0.021 0.000
Pr 0.500 0.521 0.000
Pr 0.255 0.348 0.500
Pr 0.745 0.848 0.500
```

---

PtAuS2O8: relaxed, PBE. Values from VASP.

Output
- raw formation energy (eV per atom) = -0.769
- total energy (eV/atom) = -5.5384
- SG = C2/m, No. 12
- total moment (μB/cell) = 0.97

Cell and atoms, written as Quantum ESPRESSO input:
```
&SYSTEM
  ibrav = 0, nat = 12, ntyp = 4
/
ATOMIC_SPECIES
Pt 195.08 Pt.upf
Au 196.97 Au.upf
S 32.06 S.upf
O 16.00 O.upf
CELL_PARAMETERS angstrom
5.088 0.054 -0.718
2.395 4.489 -0.718
-0.675 -0.410 8.209
ATOMIC_POSITIONS crystal
Pt 0.000 0.000 0.000
Au 0.000 0.000 0.500
S 0.672 0.672 0.202
S 0.328 0.328 0.798
O 0.668 0.198 0.811
O 0.756 0.756 0.071
O 0.765 0.765 0.379
O 0.235 0.235 0.621
O 0.244 0.244 0.929
O 0.198 0.668 0.811
O 0.802 0.332 0.189
O 0.332 0.802 0.189
```

---

Tb4PaN4: relaxed, PBE. Values from VASP.

Output
- raw formation energy (eV per atom) = -1.415
- total energy (eV/atom) = -8.2279
- SG = I4/m, No. 87
- total moment (μB/cell) = 0.00

Cell and atoms, written as Quantum ESPRESSO input:
```
&SYSTEM
  ibrav = 0, nat = 9, ntyp = 3
/
ATOMIC_SPECIES
Tb 158.93 Tb.upf
Pa 231.04 Pa.upf
N 14.01 N.upf
CELL_PARAMETERS angstrom
4.628 0.000 1.855
2.274 5.523 1.027
0.258 -0.107 6.055
ATOMIC_POSITIONS crystal
Tb 0.603 0.588 0.206
Tb 0.397 0.412 0.794
Tb 0.191 0.205 0.412
Tb 0.809 0.795 0.588
Pa 0.000 0.000 0.000
N 0.908 0.375 0.808
N 0.092 0.625 0.192
N 0.284 0.808 0.624
N 0.716 0.192 0.376
```

---

LaNiSn3: relaxed, PBE. Values from VASP.

Output
- total energy (eV/atom) = -3.2545
- energy of formation (eV per formula unit) = 6.4
- SG = Pm-3m, No. 221
- total moment (μB/cell) = 0.00

Cell and atoms, written as Quantum ESPRESSO input:
```
&SYSTEM
  ibrav = 0, nat = 5, ntyp = 3
/
ATOMIC_SPECIES
Ni 58.69 Ni.upf
Sn 118.71 Sn.upf
La 138.91 La.upf
CELL_PARAMETERS angstrom
-5.312 2.362 1.209
-2.253 -2.585 -4.847
-1.402 -4.795 3.209
ATOMIC_POSITIONS crystal
Ni 0.500 0.500 0.500
Sn 0.000 0.500 0.000
Sn 0.000 0.000 0.500
Sn 0.500 0.000 0.000
La 0.000 0.000 0.000
```

---

Y4MgCd2: relaxed, PBE. Values from VASP.

Output
- total energy (eV/atom) = -4.3040
- energy of formation (eV per formula unit) = -0.8
- SG = R-3m, No. 166
- total moment (μB/cell) = 0.50

Cell and atoms, written as Quantum ESPRESSO input:
```
&SYSTEM
  ibrav = 0, nat = 7, ntyp = 3
/
ATOMIC_SPECIES
Y 88.91 Y.upf
Mg 24.30 Mg.upf
Cd 112.41 Cd.upf
CELL_PARAMETERS angstrom
5.021 0.000 1.569
2.266 4.481 1.569
-0.020 -0.012 8.884
ATOMIC_POSITIONS crystal
Y 0.869 0.869 0.394
Y 0.131 0.131 0.606
Y 0.614 0.614 0.159
Y 0.386 0.386 0.841
Mg 0.000 0.000 0.000
Cd 0.742 0.742 0.775
Cd 0.258 0.258 0.225
```

---

Zr3UTl3Se8: relaxed, PBE. Values from VASP.

Output
- raw formation energy (eV per atom) = -1.044
- total energy (eV/atom) = -5.8382
- SG = R-3m, No. 166
- total moment (μB/cell) = 2.92

Cell and atoms, written as Quantum ESPRESSO input:
```
&SYSTEM
  ibrav = 0, nat = 15, ntyp = 4
/
ATOMIC_SPECIES
Zr 91.22 Zr.upf
U 238.03 U.upf
Tl 204.38 Tl.upf
Se 78.96 Se.upf
CELL_PARAMETERS angstrom
7.728 0.000 0.000
-3.864 6.691 -0.030
0.000 -4.426 8.158
ATOMIC_POSITIONS crystal
Zr 0.500 0.000 0.500
Zr 0.500 0.500 0.500
Zr 0.000 0.500 0.500
U 0.000 0.000 0.500
Tl 0.000 0.000 0.000
Tl 0.000 0.500 0.000
Tl 0.500 0.500 0.000
Se 0.267 0.535 0.302
Se 0.733 0.465 0.698
Se 0.760 0.519 0.296
Se 0.240 0.481 0.704
Se 0.760 0.037 0.297
Se 0.240 0.963 0.703
Se 0.277 0.037 0.297
Se 0.723 0.963 0.703
```

---

TcTe2W2: relaxed, PBE. Values from VASP.

Output
- polymorph energy (0 for the lowest one) (eV per formula unit) = 0.00
- raw formation energy (eV per atom) = 0.951
- total energy (eV/atom) = -7.5600
- SG = P4/mbm, No. 127
- total moment (μB/cell) = 0.00

Cell and atoms, written as Quantum ESPRESSO input:
```
&SYSTEM
  ibrav = 0, nat = 10, ntyp = 3
/
ATOMIC_SPECIES
Te 127.60 Te.upf
Tc 98.00 Tc.upf
W 183.84 W.upf
CELL_PARAMETERS angstrom
-4.027 4.366 3.424
-4.103 0.505 -5.469
-2.284 -3.217 1.417
ATOMIC_POSITIONS crystal
Te 0.169 0.669 0.500
Te 0.669 0.831 0.500
Te 0.831 0.331 0.500
Te 0.331 0.169 0.500
Tc 0.000 0.000 0.000
Tc 0.500 0.500 0.000
W 0.365 0.865 0.000
W 0.865 0.635 0.000
W 0.635 0.135 0.000
W 0.135 0.365 0.000
```

---

Hf2AlHRu: relaxed, PBE. Values from VASP.

Output
- total energy (eV/atom) = -7.6599
- SG = P4/mmm, No. 123
- total moment (μB/cell) = 0.00

Cell and atoms, written as Quantum ESPRESSO input:
```
&SYSTEM
  ibrav = 0, nat = 5, ntyp = 4
/
ATOMIC_SPECIES
Ru 101.07 Ru.upf
Hf 178.49 Hf.upf
Al 26.98 Al.upf
H 1.01 H.upf
CELL_PARAMETERS angstrom
4.426 0.000 0.000
0.000 4.426 0.000
0.000 0.000 3.765
ATOMIC_POSITIONS crystal
Ru 0.000 0.000 0.500
Hf 0.000 0.500 0.000
Hf 0.500 0.000 0.000
Al 0.500 0.500 0.500
H 0.000 0.000 0.000
```

---

LiThAg: relaxed, PBE. Values from VASP.

Output
- polymorph energy (0 for the lowest one) (eV per formula unit) = 0.27
- total energy (eV/atom) = -4.0306
- energy of formation (eV per formula unit) = 0.1
- SG = I4mm, No. 107
- total moment (μB/cell) = 0.00

Cell and atoms, written as Quantum ESPRESSO input:
```
&SYSTEM
  ibrav = 0, nat = 3, ntyp = 3
/
ATOMIC_SPECIES
Th 232.04 Th.upf
Ag 107.87 Ag.upf
Li 6.94 Li.upf
CELL_PARAMETERS angstrom
-1.107 3.088 -0.931
-2.529 -0.220 2.277
5.195 0.979 3.312
ATOMIC_POSITIONS crystal
Th 0.004 0.004 0.007
Ag 0.696 0.696 0.391
Li 0.301 0.301 0.601
```

---

Na2HfScF: relaxed, PBE. Values from VASP.

Output
- raw formation energy (eV per atom) = -0.359
- total energy (eV/atom) = -4.5175
- SG = P4/mmm, No. 123
- total moment (μB/cell) = 0.00

Cell and atoms, written as Quantum ESPRESSO input:
```
&SYSTEM
  ibrav = 0, nat = 5, ntyp = 4
/
ATOMIC_SPECIES
Sc 44.96 Sc.upf
Na 22.99 Na.upf
Hf 178.49 Hf.upf
F 19.00 F.upf
CELL_PARAMETERS angstrom
4.333 0.000 0.000
0.000 4.333 0.000
0.000 0.000 5.755
ATOMIC_POSITIONS crystal
Sc 0.500 0.500 0.500
Na 0.000 0.500 0.000
Na 0.500 0.000 0.000
Hf 0.000 0.000 0.500
F 0.000 0.000 0.000
```

---

Th2TlN: relaxed, PBE. Values from VASP.

Output
- raw formation energy (eV per atom) = -0.792
- total energy (eV/atom) = -7.1752
- SG = P4/nmm, No. 129
- total moment (μB/cell) = 0.00

Cell and atoms, written as Quantum ESPRESSO input:
```
&SYSTEM
  ibrav = 0, nat = 8, ntyp = 3
/
ATOMIC_SPECIES
Th 232.04 Th.upf
Tl 204.38 Tl.upf
N 14.01 N.upf
CELL_PARAMETERS angstrom
4.739 0.000 -0.004
0.000 4.739 -0.004
0.003 0.003 9.225
ATOMIC_POSITIONS crystal
Th 0.750 0.750 0.835
Th 0.750 0.250 0.500
Th 0.250 0.250 0.165
Th 0.250 0.750 0.500
Tl 0.250 0.250 0.799
Tl 0.750 0.750 0.201
N 0.250 0.250 0.413
N 0.750 0.750 0.587
```

---

NaSmLuAl: relaxed, PBE. Values from VASP.

Output
- total energy (eV/atom) = -3.5998
- energy of formation (eV per formula unit) = -0.1
- SG = F-43m, No. 216
- total moment (μB/cell) = 0.00

Cell and atoms, written as Quantum ESPRESSO input:
```
&SYSTEM
  ibrav = 0, nat = 4, ntyp = 4
/
ATOMIC_SPECIES
Na 22.99 Na.upf
Lu 174.97 Lu.upf
Al 26.98 Al.upf
Sm 150.36 Sm.upf
CELL_PARAMETERS angstrom
5.286 0.000 0.000
2.643 4.578 0.000
2.643 1.526 4.316
ATOMIC_POSITIONS crystal
Na 0.000 0.000 0.000
Lu 0.250 0.250 0.250
Al 0.500 0.500 0.500
Sm 0.750 0.750 0.750
```